Material: Er3InRu
Method: DFT, GGA-PBE
State: relaxed

Lattice parameters (Å, degrees): 7.1110 7.1110 7.1110 90.00 90.00 90.00
Last column: nearest neighbours and their distance in Å.
Positions (direct):
1 Er 0.5000 0.5000 0.5000  8 Er 3.33, 6 In 3.56
2 Er 0.2300 0.2300 0.2300  3 Ru 3.01, 3 In 3.17, 4 Er 3.27-3.33
3 Er 0.7700 0.7700 0.2300  3 Ru 3.01, 3 In 3.17, 4 Er 3.27-3.33
4 Er 0.7700 0.2300 0.7700  3 Ru 3.01, 3 In 3.17, 4 Er 3.27-3.33
5 Er 0.2300 0.7700 0.7700  3 Ru 3.01, 3 In 3.17, 4 Er 3.27-3.33
6 Er 0.2300 0.2300 0.7700  3 Ru 3.01, 3 In 3.17, 4 Er 3.27-3.33
7 Er 0.7700 0.7700 0.7700  3 Ru 3.01, 3 In 3.17, 4 Er 3.27-3.33
8 Er 0.2300 0.7700 0.2300  3 Ru 3.01, 3 In 3.17, 4 Er 3.27-3.33
9 Er 0.7700 0.2300 0.2300  3 Ru 3.01, 3 In 3.17, 4 Er 3.27-3.33
10 In 0.0000 0.5000 0.5000  8 Er 3.17
11 In 0.5000 0.0000 0.5000  8 Er 3.17
12 In 0.5000 0.5000 0.0000  8 Er 3.17
13 Ru 0.5000 0.0000 0.0000  8 Er 3.01
14 Ru 0.0000 0.5000 0.0000  8 Er 3.01
15 Ru 0.0000 0.0000 0.5000  8 Er 3.01

Output
Formation enthalpy at 0 K, eV/atom: -0.30
Fermi-level density of states, states/eV per atom: 0.621
DFT total energy, eV per atom: -5.441